Entry 1:
This record from the Alexandria database describes a relaxed Zn2In2As crystal. The functional is PBE.

```
Zn2In2As
1.0
-1.660 -4.048 -5.083
6.138 -2.699 0.145
-1.571 -3.399 3.219
As Zn In
2 4 4
Direct
0.000 0.000 0.000
0.500 0.500 0.000
0.368 0.868 0.000
0.868 0.632 0.000
0.632 0.132 0.000
0.132 0.368 0.000
0.174 0.674 0.500
0.674 0.826 0.500
0.826 0.326 0.500
0.326 0.174 0.500
```

Summary:
ΔE_f (eV/atom): 0.07
Relative energy among the computed polymorphs (meV/atom): 0

***

Entry 2:
This record from the Alexandria database describes a relaxed HoZrCuIr crystal. The functional is PBE.

```
HoZrCuIr
1.0
4.757 0.000 0.000
2.378 4.119 0.000
2.378 1.373 3.884
Ir Ho Zr Cu
1 1 1 1
Direct
0.750 0.750 0.750
0.000 0.000 0.000
0.500 0.500 0.500
0.250 0.250 0.250
```

Summary:
ΔE_f (eV/atom): -0.52

***

Entry 3:
This record from the Alexandria database describes a relaxed NaHg3O crystal. The functional is PBE.

```
NaHg3O
1.0
-4.930 -0.895 0.556
0.635 -4.645 -1.853
0.841 -1.742 4.656
Na Hg O
1 3 1
Direct
0.500 0.500 0.500
0.000 0.500 0.000
0.000 0.000 0.500
0.500 0.000 0.000
0.000 0.000 0.000
```

Summary:
E_form (uncorrected) (eV/atom): 0.1123
Relative energy among the computed polymorphs (meV/atom): 0

***

Entry 4:
This record from the Alexandria database describes a relaxed SiPtAuS2 crystal. The functional is PBE.

```
SiPtAuS2
1.0
4.839 0.000 0.000
0.000 4.578 0.000
0.000 0.000 4.839
S Au Si Pt
2 1 1 1
Direct
0.000 0.000 0.500
0.500 0.000 0.000
0.500 0.500 0.500
0.000 0.500 0.000
0.000 0.000 0.000
```

Summary:
E_form (uncorrected) (eV/atom): 0.6820

***

Entry 5:
This record from the Alexandria database describes a relaxed V6As3N crystal. The functional is PBE.

```
V6As3N
1.0
-1.731 0.414 6.385
-4.099 -3.185 1.626
0.735 -4.465 3.019
V As N
6 3 1
Direct
0.371 0.161 0.654
0.629 0.346 0.839
0.629 0.839 0.346
0.371 0.654 0.161
0.189 0.704 0.704
0.811 0.296 0.296
0.230 0.240 0.240
0.770 0.760 0.760
0.000 0.000 0.000
0.500 0.500 0.500
```

Summary:
E_form (uncorrected) (eV/atom): -0.3749

***

Entry 6:
This record from the Alexandria database describes a relaxed HfNbVRu crystal. The functional is PBE.

```
HfNbVRu
1.0
-3.005 0.204 3.409
-4.459 -0.046 -0.894
-2.493 -3.654 1.056
Ru Nb Hf V
1 1 1 1
Direct
0.750 0.750 0.750
0.000 0.000 0.000
0.500 0.500 0.500
0.250 0.250 0.250
```

Summary:
ΔE_f (eV/atom): -0.23
Relative energy among the computed polymorphs (meV/atom): 35

***

Entry 7:
This record from the Alexandria database describes a relaxed Pr6YHo2Tm crystal. The functional is PBE.

```
Pr6YHo2Tm
1.0
9.239 -2.021 -2.097
0.817 8.743 -2.068
0.817 -2.391 8.661
Pr Y Ho Tm
12 2 4 2
Direct
0.053 0.118 0.763
0.447 0.237 0.882
0.947 0.882 0.237
0.553 0.763 0.118
0.310 0.993 0.436
0.190 0.564 0.007
0.690 0.007 0.564
0.810 0.436 0.993
0.117 0.708 0.492
0.383 0.508 0.292
0.883 0.292 0.508
0.617 0.492 0.708
0.250 0.973 0.027
0.750 0.027 0.973
0.454 0.799 0.700
0.046 0.300 0.201
0.546 0.201 0.300
0.954 0.700 0.799
0.250 0.413 0.587
0.750 0.587 0.413
```

Summary:
ΔE_f (eV/atom): 0.11

***

Entry 8:
This record from the Alexandria database describes a relaxed Al2ZnB2Ir5 crystal. The functional is PBE.

```
Al2ZnB2Ir5
1.0
-0.798 -2.812 0.215
8.166 -2.606 -3.762
3.801 -0.425 8.544
Al Zn B Ir
4 2 4 10
Direct
0.000 0.678 0.178
0.000 0.322 0.822
0.000 0.178 0.322
0.000 0.822 0.678
0.000 0.000 0.000
0.000 0.500 0.500
0.000 0.129 0.629
0.000 0.871 0.371
0.000 0.629 0.871
0.000 0.371 0.129
0.500 0.210 0.080
0.500 0.790 0.920
0.500 0.080 0.790
0.500 0.710 0.420
0.500 0.920 0.210
0.500 0.290 0.580
0.500 0.580 0.710
0.500 0.420 0.290
0.500 0.500 0.000
0.500 0.000 0.500
```

Summary:
ΔE_f (eV/atom): -0.44

***

Entry 9:
This record from the Alexandria database describes a relaxed Ac6La12Pm crystal. The functional is PBE.

```
Ac6La12Pm
1.0
-1.996 9.038 1.194
-8.597 -3.631 0.091
2.841 -2.230 8.605
Ac La Pm
6 12 1
Direct
0.897 0.328 0.897
0.897 0.897 0.328
0.328 0.897 0.897
0.103 0.103 0.672
0.103 0.672 0.103
0.672 0.103 0.103
0.746 0.254 0.500
0.352 0.075 0.352
0.352 0.352 0.075
0.925 0.648 0.648
0.648 0.648 0.925
0.648 0.925 0.648
0.500 0.746 0.254
0.254 0.500 0.746
0.254 0.746 0.500
0.500 0.254 0.746
0.746 0.500 0.254
0.075 0.352 0.352
0.000 0.000 0.000
```

Summary:
ΔE_f (eV/atom): 0.19

***

Entry 10:
This record from the Alexandria database describes a relaxed OsSe2Cl crystal. The functional is PBE.

```
OsSe2Cl
1.0
3.026 0.000 0.000
0.000 3.026 0.000
0.000 0.000 8.492
Cl Os Se
1 1 2
Direct
0.500 0.500 0.250
0.500 0.500 0.750
0.000 0.000 0.938
0.000 0.000 0.562
```

Summary:
E_form (uncorrected) (eV/atom): 0.2921
Relative energy among the computed polymorphs (meV/atom): 300

***

Entry 11:
This record from the Alexandria database describes a relaxed NaIn2FeGe crystal. The functional is PBE.

```
NaIn2FeGe
1.0
-0.984 4.862 -0.878
-2.283 -1.145 -3.780
-4.249 -0.376 2.680
Na Ge Fe In
1 1 1 2
Direct
0.500 0.500 0.500
0.000 0.500 0.000
0.000 0.000 0.000
0.000 0.000 0.500
0.500 0.000 0.000
```

Summary:
ΔE_f (eV/atom): 0.01

***

Entry 12:
This record from the Alexandria database describes a relaxed ReCl3 crystal. The functional is PBE.

```
ReCl3
1.0
8.854 4.432 0.917
9.604 2.251 -1.258
8.318 5.005 -2.155
Re Cl
1 3
Direct
0.500 0.500 0.500
0.000 0.000 0.000
0.889 0.889 0.889
0.111 0.111 0.111
```

Summary:
E_form (uncorrected) (eV/atom): 0.2896
Relative energy among the computed polymorphs (meV/atom): 963